# 1
# ErGa2Tc4

A relaxed ErGa2Tc4 crystal (GGA-PBE, Alexandria).

Properties
size of the total moment = 0.00 μB/atom
ΔE_f = -0.251 eV per atom

a = 4.175 Å, b = 14.088 Å, c = 4.173 Å
α = 90.00°, β = 90.00°, γ = 90.00°
Space group Cmmm (No. 65)
Inequivalent atoms, fractional coordinates:
Er (0.000, 0.000, 0.000) x2
Ga (0.000, 0.413, 0.500) x4
Tc (0.000, 0.197, 0.500) x4
Tc (0.000, 0.302, 0.000) x4

=====

# 2
# AgOs3

A relaxed AgOs3 crystal (GGA-PBE, Alexandria).

Properties
size of the total moment = 0.00 μB/atom
ΔE_f = 0.272 eV per atom

a = 2.7619 Å, b = 2.7619 Å, c = 9.1606 Å
α = 90.00°, β = 90.00°, γ = 120.00°
Space group P-6m2 (No. 187)
Inequivalent atoms, fractional coordinates:
Ag (0.0000, 0.0000, 0.0000) x1
Os (0.0000, 0.0000, 0.5000) x1
Os (0.3333, 0.6667, 0.2702) x2

=====

# 3
# AcSiAg

A relaxed AcSiAg crystal (GGA-PBE, Alexandria).

Properties
energy relative to the elements, uncorrected = -0.138 eV per atom
size of the total moment = 0.00 μB/atom

a = 8.233 Å, b = 11.439 Å, c = 13.170 Å
α = 90.00°, β = 90.00°, γ = 90.00°
Space group Fddd (No. 70, origin choice 2)
Inequivalent atoms, fractional coordinates:
Ac (0.000, 0.000, 0.000) x16
Si (0.125, 0.125, 0.455) x16
Ag (0.125, 0.251, 0.625) x16

=====

# 4
# Lu3Ru2

A relaxed Lu3Ru2 crystal (GGA-PBE, Alexandria).

Properties
size of the total moment = 0.00 μB/atom
ΔE_f = -0.345 eV per atom

a = 7.4632 Å, b = 7.4632 Å, c = 4.6395 Å
α = 90.00°, β = 90.00°, γ = 120.00°
Space group P6_3/m (No. 176)
Inequivalent atoms, fractional coordinates:
Lu (0.0810, 0.3865, 0.2500) x6
Ru (0.0000, 0.0000, 0.0000) x2
Ru (0.3333, 0.6667, 0.7500) x2

=====

# 5
# CoPtSeCl2

A relaxed CoPtSeCl2 crystal (GGA-PBE, Alexandria).

Properties
energy relative to the elements, uncorrected = 1.029 eV per atom
size of the total moment = 0.46 μB/atom

a = 5.125 Å, b = 5.125 Å, c = 4.432 Å
α = 90.00°, β = 90.00°, γ = 90.00°
Space group P4/mmm (No. 123)
Inequivalent atoms, fractional coordinates:
Co (0.000, 0.000, 0.000) x1
Pt (0.500, 0.500, 0.000) x1
Se (0.000, 0.000, 0.500) x1
Cl (0.000, 0.500, 0.500) x2

=====

# 6
# Tm4TePb3

A relaxed Tm4TePb3 crystal (GGA-PBE, Alexandria).

Properties
energy relative to the elements, uncorrected = -0.579 eV per atom
size of the total moment = 0.00 μB/atom

a = 12.439 Å, b = 9.479 Å, c = 4.016 Å
α = 90.00°, β = 90.38°, γ = 90.00°
Space group C2/m (No. 12)
Inequivalent atoms, fractional coordinates:
Tm (0.000, 0.248, 0.000) x4
Tm (0.249, 0.500, 0.499) x4
Te (0.000, 0.000, 0.500) x2
Pb (0.000, 0.500, 0.500) x2
Pb (0.250, 0.250, 0.000) x4

=====

# 7
# La4Zn2I5

A relaxed La4Zn2I5 crystal (GGA-PBE, Alexandria).

Properties
energy relative to the elements, uncorrected = -0.909 eV per atom
size of the total moment = 0.00 μB/atom

a = 23.752 Å, b = 4.305 Å, c = 9.192 Å
α = 90.00°, β = 91.79°, γ = 90.00°
Space group C2/m (No. 12)
Inequivalent atoms, fractional coordinates:
La (0.009, 0.000, 0.223) x4
La (0.162, 0.500, 0.059) x4
Zn (0.048, 0.500, 0.965) x4
I (0.000, 0.500, 0.500) x2
I (0.146, 0.000, 0.319) x4
I (0.204, 0.000, 0.818) x4

=====

# 8
# Ba3Ga8Au3

A relaxed Ba3Ga8Au3 crystal (GGA-PBE, Alexandria).

Properties
size of the total moment = 0.00 μB/atom
ΔE_f = -0.432 eV per atom

a = 16.920 Å, b = 4.740 Å, c = 10.061 Å
α = 90.00°, β = 125.60°, γ = 90.00°
Space group C2/m (No. 12)
Inequivalent atoms, fractional coordinates:
Ba (0.000, 0.000, 0.000) x2
Ba (0.201, 0.500, 0.701) x4
Ga (0.000, 0.500, 0.306) x4
Ga (0.141, 0.000, 0.423) x4
Ga (0.142, 0.000, 0.862) x4
Ga (0.161, 0.500, 0.299) x4
Au (0.000, 0.000, 0.500) x2
Au (0.155, 0.500, 0.011) x4

=====

# 9
# Li2CaZn2

A relaxed Li2CaZn2 crystal (GGA-PBE, Alexandria).

Properties
size of the total moment = 0.00 μB/atom
ΔE_f = -0.107 eV per atom

a = 7.876 Å, b = 7.876 Å, c = 3.120 Å
α = 90.00°, β = 90.00°, γ = 90.00°
Space group P4/mbm (No. 127)
Inequivalent atoms, fractional coordinates:
Li (0.121, 0.379, 0.000) x4
Ca (0.000, 0.000, 0.000) x2
Zn (0.174, 0.674, 0.500) x4

=====

# 10
# Ba2B2PbO6

A relaxed Ba2B2PbO6 crystal (GGA-PBE, Alexandria).

Properties
energy relative to the elements, uncorrected = -2.419 eV per atom
size of the total moment = 0.00 μB/atom

a = 9.991 Å, b = 5.528 Å, c = 7.066 Å
α = 90.00°, β = 119.29°, γ = 90.00°
Space group C2/m (No. 12)
Inequivalent atoms, fractional coordinates:
Ba (0.206, 0.000, 0.188) x4
B (0.046, 0.500, 0.243) x4
Pb (0.000, 0.000, 0.500) x2
O (0.036, 0.282, 0.803) x8
O (0.205, 0.500, 0.341) x4

=====

# 11
# PrHo2Mn

A relaxed PrHo2Mn crystal (GGA-PBE, Alexandria).

Properties
size of the total moment = 0.69 μB/atom
ΔE_f = 0.357 eV per atom

a = 3.4156 Å, b = 3.4156 Å, c = 33.8891 Å
α = 90.00°, β = 90.00°, γ = 120.00°
Space group R-3m (No. 166, hexagonal axes)
Inequivalent atoms, fractional coordinates:
Pr (0.0000, 0.0000, 0.0000) x3
Ho (0.0000, 0.0000, 0.1017) x6
Mn (0.0000, 0.0000, 0.5000) x3

=====

# 12
# Ca6Cd

A relaxed Ca6Cd crystal (GGA-PBE, Alexandria).

Properties
size of the total moment = 0.23 μB/atom
ΔE_f = 1.011 eV per atom

a = 10.417 Å, b = 10.417 Å, c = 10.417 Å
α = 90.00°, β = 90.00°, γ = 90.00°
Space group Im-3m (No. 229)
Inequivalent atoms, fractional coordinates:
Ca (0.000, 0.250, 0.500) x12
Cd (0.000, 0.000, 0.000) x2

=====

Volume list, top to bottom, in Å³/cell: 245.44, 60.52, 1240.36, 223.79, 116.40, 473.56, 939.43, 656.03, 193.56, 340.37, 342.39, 1130.23